1.
# LiPr2Al4Ag3

Crystalline LiPr2Al4Ag3 at its relaxed geometry (PBE, Alexandria via LeMat-Bulk).

Properties
total magnetic moment	0.00	μB/cell
energy relative to the elements	-0.306	eV per atom
DOS(E_F)	7.1	states/eV per cell

a = 4.384 Å, b = 4.384 Å, c = 11.007 Å
α = 90.00°, β = 90.00°, γ = 90.00°
Space group P-4m2 (No. 115)
Inequivalent atoms, fractional coordinates:
Li (0.000, 0.000, 0.000) [1 per cell]
Pr (0.000, 0.500, 0.747) [2 per cell]
Al (0.000, 0.000, 0.500) [1 per cell]
Al (0.000, 0.500, 0.137) [2 per cell]
Al (0.500, 0.500, 0.500) [1 per cell]
Ag (0.000, 0.500, 0.369) [2 per cell]
Ag (0.500, 0.500, 0.000) [1 per cell]

=====

2.
# LiAlAgPt

Crystalline LiAlAgPt at its relaxed geometry (PBE, Alexandria via LeMat-Bulk).

Properties
total magnetic moment	0.00	μB/cell
energy relative to the elements	-0.605	eV per atom
DOS(E_F)	5.0	states/eV per cell

a = 6.158 Å, b = 6.158 Å, c = 6.158 Å
α = 90.00°, β = 90.00°, γ = 90.00°
Space group F-43m (No. 216)
Inequivalent atoms, fractional coordinates:
Li (0.000, 0.000, 0.000) [4 per cell]
Al (0.000, 0.000, 0.500) [4 per cell]
Ag (0.250, 0.250, 0.750) [4 per cell]
Pt (0.250, 0.250, 0.250) [4 per cell]

=====

3.
# RbLiAlAg2

Crystalline RbLiAlAg2 at its relaxed geometry (PBE, Alexandria via LeMat-Bulk).

Properties
total magnetic moment	0.00	μB/cell
energy relative to the elements	1.142	eV per atom
DOS(E_F)	2.5	states/eV per cell

a = 6.015 Å, b = 6.015 Å, c = 6.183 Å
α = 90.00°, β = 90.00°, γ = 90.00°
Space group P4/mmm (No. 123)
Inequivalent atoms, fractional coordinates:
Rb (0.000, 0.000, 0.000) [1 per cell]
Li (0.500, 0.500, 0.500) [1 per cell]
Al (0.000, 0.000, 0.500) [1 per cell]
Ag (0.000, 0.500, 0.000) [2 per cell]

=====

4.
# LiAlAgRu

Crystalline LiAlAgRu at its relaxed geometry (PBE, Alexandria via LeMat-Bulk).

Properties
total magnetic moment	0.00	μB/cell
energy relative to the elements	-0.200	eV per atom
DOS(E_F)	6.6	states/eV per cell

a = 6.072 Å, b = 6.072 Å, c = 6.072 Å
α = 90.00°, β = 90.00°, γ = 90.00°
Space group F-43m (No. 216)
Inequivalent atoms, fractional coordinates:
Li (0.000, 0.000, 0.000) [4 per cell]
Al (0.000, 0.000, 0.500) [4 per cell]
Ag (0.250, 0.250, 0.750) [4 per cell]
Ru (0.250, 0.250, 0.250) [4 per cell]

=====

5.
# Li2AlAgSe

Crystalline Li2AlAgSe at its relaxed geometry (PBE, Alexandria via LeMat-Bulk).

Properties
E_form (uncorrected)	0.1601	eV/atom
total magnetic moment	0.00	μB/cell
DOS(E_F)	0.8	states/eV per cell

a = 4.909 Å, b = 4.909 Å, c = 5.094 Å
α = 90.00°, β = 90.00°, γ = 90.00°
Space group P4/mmm (No. 123)
Inequivalent atoms, fractional coordinates:
Li (0.000, 0.500, 0.000) [2 per cell]
Al (0.000, 0.000, 0.500) [1 per cell]
Ag (0.500, 0.500, 0.000) [1 per cell]
Se (0.500, 0.500, 0.500) [1 per cell]

=====

6.
# LiAlSiAg

Crystalline LiAlSiAg at its relaxed geometry (PBE, Alexandria via LeMat-Bulk).

Properties
E_form (uncorrected)	-0.0160	eV/atom
total magnetic moment	0.00	μB/cell
DOS(E_F)	9.9	states/eV per cell

a = 6.333 Å, b = 6.333 Å, c = 6.333 Å
α = 90.00°, β = 90.00°, γ = 90.00°
Space group F-43m (No. 216)
Inequivalent atoms, fractional coordinates:
Li (0.000, 0.000, 0.000) [4 per cell]
Al (0.000, 0.000, 0.500) [4 per cell]
Si (0.250, 0.250, 0.250) [4 per cell]
Ag (0.250, 0.250, 0.750) [4 per cell]

=====

7.
# LiSmAlAg

Crystalline LiSmAlAg at its relaxed geometry (PBE, Alexandria via LeMat-Bulk).

Properties
total magnetic moment	0.00	μB/cell
energy relative to the elements	-0.309	eV per atom
DOS(E_F)	2.5	states/eV per cell

a = 6.841 Å, b = 6.841 Å, c = 6.841 Å
α = 90.00°, β = 90.00°, γ = 90.00°
Space group F-43m (No. 216)
Inequivalent atoms, fractional coordinates:
Li (0.000, 0.000, 0.000) [4 per cell]
Sm (0.250, 0.250, 0.750) [4 per cell]
Al (0.250, 0.250, 0.250) [4 per cell]
Ag (0.000, 0.000, 0.500) [4 per cell]

=====

8.
# Li2SmAlAg4

Crystalline Li2SmAlAg4 at its relaxed geometry (PBE, Alexandria via LeMat-Bulk).

Properties
total magnetic moment	0.00	μB/cell
energy relative to the elements	-0.190	eV per atom
DOS(E_F)	10.7	states/eV per cell

a = 4.5134 Å, b = 4.5134 Å, c = 26.1384 Å
α = 90.00°, β = 90.00°, γ = 120.00°
Space group R-3m (No. 166, hexagonal axes)
Inequivalent atoms, fractional coordinates:
Li (0.0000, 0.0000, 0.2371) [6 per cell]
Sm (0.0000, 0.0000, 0.0000) [3 per cell]
Al (0.0000, 0.0000, 0.5000) [3 per cell]
Ag (0.0000, 0.0000, 0.1306) [6 per cell]
Ag (0.0000, 0.0000, 0.3996) [6 per cell]

=====

9.
# Li2Sm2Al5Ag

Crystalline Li2Sm2Al5Ag at its relaxed geometry (PBE, Alexandria via LeMat-Bulk).

Properties
total magnetic moment	0.00	μB/cell
energy relative to the elements	-0.276	eV per atom
DOS(E_F)	8.4	states/eV per cell

a = 9.423 Å, b = 9.423 Å, c = 4.268 Å
α = 90.00°, β = 90.00°, γ = 90.00°
Space group P4/mbm (No. 127)
Inequivalent atoms, fractional coordinates:
Li (0.111, 0.389, 0.000) [4 per cell]
Sm (0.183, 0.683, 0.000) [4 per cell]
Al (0.000, 0.500, 0.500) [2 per cell]
Al (0.057, 0.204, 0.500) [8 per cell]
Ag (0.000, 0.000, 0.000) [2 per cell]

=====

10.
# LiSmAl2Ag4

Crystalline LiSmAl2Ag4 at its relaxed geometry (PBE, Alexandria via LeMat-Bulk).

Properties
total magnetic moment	0.00	μB/cell
energy relative to the elements	-0.254	eV per atom
DOS(E_F)	10.8	states/eV per cell

a = 4.5432 Å, b = 4.5432 Å, c = 25.2412 Å
α = 90.00°, β = 90.00°, γ = 120.00°
Space group R-3m (No. 166, hexagonal axes)
Inequivalent atoms, fractional coordinates:
Li (0.0000, 0.0000, 0.0000) [3 per cell]
Sm (0.0000, 0.0000, 0.5000) [3 per cell]
Al (0.0000, 0.0000, 0.2556) [6 per cell]
Ag (0.0000, 0.0000, 0.1007) [6 per cell]
Ag (0.0000, 0.0000, 0.3678) [6 per cell]

=====

11.
# LiSmAlAg6

Crystalline LiSmAlAg6 at its relaxed geometry (PBE, Alexandria via LeMat-Bulk).

Properties
total magnetic moment	0.00	μB/cell
energy relative to the elements	-0.001	eV per atom
DOS(E_F)	17.3	states/eV per cell

a = 7.319 Å, b = 9.171 Å, c = 10.983 Å
α = 90.00°, β = 90.00°, γ = 90.00°
Space group Imma (No. 74)
Inequivalent atoms, fractional coordinates:
Li (0.250, 0.250, 0.250) [4 per cell]
Sm (0.000, 0.250, 0.707) [4 per cell]
Al (0.000, 0.000, 0.500) [4 per cell]
Ag (0.000, 0.250, 0.011) [4 per cell]
Ag (0.000, 0.250, 0.410) [4 per cell]
Ag (0.193, 0.005, 0.872) [16 per cell]

=====

12.
# Li3Al2Ag4Sn2

Crystalline Li3Al2Ag4Sn2 at its relaxed geometry (PBE, Alexandria via LeMat-Bulk).

Properties
total magnetic moment	0.00	μB/cell
energy relative to the elements	-0.095	eV per atom
DOS(E_F)	5.2	states/eV per cell

a = 4.4295 Å, b = 4.4295 Å, c = 13.0605 Å
α = 90.00°, β = 90.00°, γ = 120.00°
Space group P-3m1 (No. 164)
Inequivalent atoms, fractional coordinates:
Li (0.0000, 0.0000, 0.0000) [1 per cell]
Li (0.0000, 0.0000, 0.2748) [2 per cell]
Al (0.3333, 0.6667, 0.5652) [2 per cell]
Ag (0.3333, 0.6667, 0.3669) [2 per cell]
Ag (0.3333, 0.6667, 0.9319) [2 per cell]
Sn (0.3333, 0.6667, 0.1550) [2 per cell]

=====

13.
# LiAl2AgSn

Crystalline LiAl2AgSn at its relaxed geometry (PBE, Alexandria via LeMat-Bulk).

Properties
total magnetic moment	0.00	μB/cell
energy relative to the elements	0.606	eV per atom
DOS(E_F)	1.6	states/eV per cell

a = 5.317 Å, b = 5.317 Å, c = 5.019 Å
α = 90.00°, β = 90.00°, γ = 90.00°
Space group P4/mmm (No. 123)
Inequivalent atoms, fractional coordinates:
Li (0.000, 0.000, 0.000) [1 per cell]
Al (0.000, 0.500, 0.500) [2 per cell]
Ag (0.500, 0.500, 0.000) [1 per cell]
Sn (0.000, 0.000, 0.500) [1 per cell]

=====

14.
# Sr2Li3AlAg12

Crystalline Sr2Li3AlAg12 at its relaxed geometry (PBE, Alexandria via LeMat-Bulk).

Properties
total magnetic moment	0.00	μB/cell
energy relative to the elements	-0.014	eV per atom
DOS(E_F)	14.9	states/eV per cell

a = 6.8191 Å, b = 6.8191 Å, c = 29.5286 Å
α = 90.00°, β = 90.00°, γ = 120.00°
Space group R-3m (No. 166, hexagonal axes)
Inequivalent atoms, fractional coordinates:
Sr (0.0000, 0.0000, 0.1451) [6 per cell]
Li (0.0000, 0.5000, 0.0000) [9 per cell]
Al (0.0000, 0.0000, 0.5000) [3 per cell]
Ag (0.0397, 0.5199, 0.0995) [18 per cell]
Ag (0.0622, 0.5311, 0.6222) [18 per cell]

=====

15.
# Sr2Li3Al12Ag

Crystalline Sr2Li3Al12Ag at its relaxed geometry (PBE, Alexandria via LeMat-Bulk).

Properties
total magnetic moment	0.00	μB/cell
energy relative to the elements	0.035	eV per atom
DOS(E_F)	22.0	states/eV per cell

a = 6.6529 Å, b = 6.6529 Å, c = 30.0761 Å
α = 90.00°, β = 90.00°, γ = 120.00°
Space group R-3m (No. 166, hexagonal axes)
Inequivalent atoms, fractional coordinates:
Sr (0.0000, 0.0000, 0.1442) [6 per cell]
Li (0.0000, 0.5000, 0.0000) [9 per cell]
Al (0.0364, 0.5182, 0.0958) [18 per cell]
Al (0.0687, 0.5343, 0.6208) [18 per cell]
Ag (0.0000, 0.0000, 0.5000) [3 per cell]

=====

16.
# SrLiAl2Ag4

Crystalline SrLiAl2Ag4 at its relaxed geometry (PBE, Alexandria via LeMat-Bulk).

Properties
total magnetic moment	0.00	μB/cell
energy relative to the elements	-0.219	eV per atom
DOS(E_F)	8.2	states/eV per cell

a = 4.5458 Å, b = 4.5458 Å, c = 27.0580 Å
α = 90.00°, β = 90.00°, γ = 120.00°
Space group R-3m (No. 166, hexagonal axes)
Inequivalent atoms, fractional coordinates:
Sr (0.0000, 0.0000, 0.0000) [3 per cell]
Li (0.0000, 0.0000, 0.5000) [3 per cell]
Al (0.0000, 0.0000, 0.2362) [6 per cell]
Ag (0.0000, 0.0000, 0.1324) [6 per cell]
Ag (0.0000, 0.0000, 0.4069) [6 per cell]

=====

17.
# SrLiAlAg6

Crystalline SrLiAlAg6 at its relaxed geometry (PBE, Alexandria via LeMat-Bulk).

Properties
total magnetic moment	0.00	μB/cell
energy relative to the elements	0.003	eV per atom
DOS(E_F)	7.9	states/eV per cell

a = 7.287 Å, b = 9.413 Å, c = 11.222 Å
α = 90.00°, β = 90.00°, γ = 90.00°
Space group Imma (No. 74)
Inequivalent atoms, fractional coordinates:
Sr (0.000, 0.250, 0.211) [4 per cell]
Li (0.250, 0.250, 0.750) [4 per cell]
Al (0.000, 0.000, 0.000) [4 per cell]
Ag (0.000, 0.250, 0.510) [4 per cell]
Ag (0.000, 0.250, 0.915) [4 per cell]
Ag (0.194, 0.008, 0.627) [16 per cell]

=====

18.
# SrLiAlAg2

Crystalline SrLiAlAg2 at its relaxed geometry (PBE, Alexandria via LeMat-Bulk).

Properties
total magnetic moment	0.00	μB/cell
energy relative to the elements	-0.239	eV per atom
DOS(E_F)	5.0	states/eV per cell

a = 4.371 Å, b = 4.371 Å, c = 11.928 Å
α = 90.00°, β = 90.00°, γ = 90.00°
Space group I-4m2 (No. 119)
Inequivalent atoms, fractional coordinates:
Sr (0.000, 0.000, 0.000) [2 per cell]
Li (0.000, 0.500, 0.750) [2 per cell]
Al (0.000, 0.500, 0.250) [2 per cell]
Ag (0.000, 0.000, 0.380) [4 per cell]

=====

19.
# SrLi6AlAg

Crystalline SrLi6AlAg at its relaxed geometry (PBE, Alexandria via LeMat-Bulk).

Properties
total magnetic moment	0.00	μB/cell
energy relative to the elements	0.095	eV per atom
DOS(E_F)	16.3	states/eV per cell

a = 5.628 Å, b = 10.933 Å, c = 14.216 Å
α = 90.00°, β = 90.00°, γ = 90.00°
Space group Imma (No. 74)
Inequivalent atoms, fractional coordinates:
Sr (0.000, 0.250, 0.137) [4 per cell]
Li (0.000, 0.250, 0.561) [4 per cell]
Li (0.000, 0.250, 0.909) [4 per cell]
Li (0.244, 0.033, 0.655) [16 per cell]
Al (0.250, 0.250, 0.750) [4 per cell]
Ag (0.000, 0.000, 0.500) [4 per cell]

=====

20.
# LiTbAlAg

Crystalline LiTbAlAg at its relaxed geometry (PBE, Alexandria via LeMat-Bulk).

Properties
total magnetic moment	0.00	μB/cell
energy relative to the elements	-0.322	eV per atom
DOS(E_F)	2.4	states/eV per cell

a = 6.758 Å, b = 6.758 Å, c = 6.758 Å
α = 90.00°, β = 90.00°, γ = 90.00°
Space group F-43m (No. 216)
Inequivalent atoms, fractional coordinates:
Li (0.000, 0.000, 0.000) [4 per cell]
Tb (0.250, 0.250, 0.750) [4 per cell]
Al (0.250, 0.250, 0.250) [4 per cell]
Ag (0.000, 0.000, 0.500) [4 per cell]

=====

21.
# Li2TbAl2Ag2

Crystalline Li2TbAl2Ag2 at its relaxed geometry (PBE, Alexandria via LeMat-Bulk).

Properties
total magnetic moment	0.00	μB/cell
energy relative to the elements	-0.281	eV per atom
DOS(E_F)	5.1	states/eV per cell

a = 8.012 Å, b = 4.588 Å, c = 7.542 Å
α = 90.00°, β = 109.88°, γ = 90.00°
Space group C2/m (No. 12)
Inequivalent atoms, fractional coordinates:
Li (0.143, 0.000, 0.435) [4 per cell]
Tb (0.000, 0.000, 0.000) [2 per cell]
Al (0.072, 0.500, 0.714) [4 per cell]
Ag (0.236, 0.500, 0.211) [4 per cell]

=====

22.
# LiThAlAg

Crystalline LiThAlAg at its relaxed geometry (PBE, Alexandria via LeMat-Bulk).

Properties
total magnetic moment	0.00	μB/cell
energy relative to the elements	-0.119	eV per atom
DOS(E_F)	7.3	states/eV per cell

a = 6.947 Å, b = 6.947 Å, c = 6.947 Å
α = 90.00°, β = 90.00°, γ = 90.00°
Space group F-43m (No. 216)
Inequivalent atoms, fractional coordinates:
Li (0.000, 0.000, 0.000) [4 per cell]
Th (0.250, 0.250, 0.250) [4 per cell]
Al (0.250, 0.250, 0.750) [4 per cell]
Ag (0.000, 0.000, 0.500) [4 per cell]

=====

23.
# LiAlTlAg

Crystalline LiAlTlAg at its relaxed geometry (PBE, Alexandria via LeMat-Bulk).

Properties
total magnetic moment	0.00	μB/cell
energy relative to the elements	-0.044	eV per atom
DOS(E_F)	1.7	states/eV per cell

a = 6.733 Å, b = 6.733 Å, c = 6.733 Å
α = 90.00°, β = 90.00°, γ = 90.00°
Space group F-43m (No. 216)
Inequivalent atoms, fractional coordinates:
Li (0.000, 0.000, 0.000) [4 per cell]
Al (0.000, 0.000, 0.500) [4 per cell]
Tl (0.250, 0.250, 0.750) [4 per cell]
Ag (0.250, 0.250, 0.250) [4 per cell]